# K2SrTe

Crystalline K2SrTe at its relaxed geometry (PBE, the Alexandria database).

a b c (Å): 8.931 8.931 8.931
angles (deg): 90.00 90.00 90.00
Space group F-43m (No. 216)
One atom of each set of equivalent atoms:
K 0.000 0.000 0.000 x4
K 0.250 0.250 0.250 x4
Sr 0.000 0.000 0.500 x4
Te 0.250 0.250 0.750 x4

Properties
Formation energy without anion corrections (eV per atom): -0.371
Raw total energy (eV for the cell shown): -34.0
Crystal system: cubic